Record 1
A plane-wave DFT calculation with PBE was carried out for a relaxed structure of TlHPtO2.

```
TlHPtO2
1.0
-2.429 -2.713 -3.325
3.658 -3.432 0.129
-3.056 -3.076 4.741
Tl Pt O H
2 2 4 2
Cartesian
-0.821 -4.423 3.130
-1.005 -4.798 -1.585
-3.509 -3.666 1.890
-1.976 -2.123 -0.474
-0.594 -0.672 -0.800
-3.367 -3.601 -0.133
1.541 -5.620 1.678
-1.232 -8.549 2.344
-1.528 -1.538 2.371
0.000 0.000 0.000
```

Output
Its space-group type is P2/c, No. 13.

=====

Record 2
A plane-wave DFT calculation with PBE was carried out for a relaxed structure of ZrHPt2O.

```
ZrHPt2O
1.0
5.019 0.000 0.000
0.000 3.520 0.000
0.000 0.000 5.019
Pt H O Zr
2 1 1 1
Cartesian
0.000 0.000 2.510
2.510 0.000 0.000
0.000 1.760 0.000
2.510 1.760 2.510
0.000 0.000 0.000
```

Output
Its space-group type is P4/mmm, No. 123.

=====

Record 3
A plane-wave DFT calculation with PBE was carried out for a relaxed structure of Pu2HO8.

```
Pu2HO8
1.0
-4.849 -7.580 -1.469
-2.421 -5.633 -6.243
-2.136 -9.776 0.793
O H Pu
8 1 2
Cartesian
-7.926 -19.576 -5.419
-8.895 -21.965 -6.574
-0.511 -1.025 -0.344
-7.046 -16.965 -3.947
-1.480 -3.414 -1.500
-1.618 -6.332 -0.344
-2.361 -6.025 -2.972
-7.789 -16.658 -6.574
0.000 0.000 0.000
-6.453 -17.770 -5.433
-2.954 -5.219 -1.485
```

Output
Its space-group type is P-1, No. 2.

=====

Record 4
A plane-wave DFT calculation with PBE was carried out for a relaxed structure of PuHO2.

```
PuHO2
1.0
3.651 0.000 0.000
1.826 3.162 0.000
1.826 1.054 4.605
H Pu O
1 1 2
Cartesian
0.000 0.000 0.000
3.651 2.108 2.302
1.826 1.054 3.382
5.477 3.162 1.223
```

Output
Its space-group type is R-3m, No. 166.

=====

Record 5
A plane-wave DFT calculation with PBE was carried out for a relaxed structure of PuHO.

```
PuHO
1.0
3.651 0.000 0.000
-1.826 3.162 0.000
0.000 0.000 6.900
H Pu O
2 2 2
Cartesian
1.826 1.054 0.421
0.000 2.108 6.479
0.000 2.108 1.803
1.826 1.054 5.097
1.826 1.054 2.659
0.000 2.108 4.241
```

Output
Its space-group type is P-3m1, No. 164.

=====

Record 6
A plane-wave DFT calculation with PBE was carried out for a relaxed structure of Pu4H5O.

```
Pu4H5O
1.0
-3.713 -0.352 -0.559
0.981 -1.979 -5.270
1.608 -4.960 5.163
H Pu O
5 4 1
Cartesian
-1.366 -1.166 -2.915
-1.272 -4.841 -1.228
-1.671 -3.964 0.868
0.546 -3.327 -1.534
0.148 -2.450 0.562
0.404 -4.772 0.318
-1.907 -4.824 2.978
0.783 -2.467 -3.644
-1.529 -2.520 -0.984
-1.857 -0.176 -0.280
```

Output
Its space-group type is C2/m, No. 12.

=====

Record 7
A plane-wave DFT calculation with PBE was carried out for a relaxed structure of Pu3H5O.

```
Pu3H5O
1.0
5.391 0.000 0.000
-2.695 5.716 -1.887
0.000 -0.014 7.593
Pu H O
6 10 2
Cartesian
0.000 -0.007 3.797
2.652 1.867 1.899
2.739 1.860 5.696
-0.043 3.842 0.010
0.000 0.000 0.000
0.043 3.835 3.807
4.049 1.909 3.760
1.348 1.912 3.835
4.031 -0.004 1.898
1.353 3.786 5.742
1.360 -0.011 5.695
-1.353 3.793 1.946
-1.348 3.783 5.668
4.043 1.919 0.038
1.348 3.790 1.871
1.342 1.916 -0.036
4.046 -0.011 5.695
1.345 -0.004 1.898
```

Output
Its space-group type is C2/c, No. 15.

=====

Record 8
A plane-wave DFT calculation with PBE was carried out for a relaxed structure of Pu2H3O.

```
Pu2H3O
1.0
-0.273 -2.309 3.073
2.778 -0.582 -2.606
3.568 3.576 3.005
H Pu O
3 2 1
Cartesian
1.389 -0.291 -1.303
-0.137 -1.155 1.536
1.252 -1.445 0.233
3.286 0.815 3.321
2.787 -0.129 0.151
1.784 1.788 1.502
```

Output
Its space-group type is P-3m1, No. 164.

=====

Sequential DFT total energy output: -4.9015 -4.8341 -8.2667 -9.0794 -9.1624 -8.5370 -8.0680 -7.8792 eV/atom